1.
! La3MgBe | Alexandria via LeMat-Bulk | PBE-GGA | optimized geometry; values from VASP
&SYSTEM
  ibrav = 0, nat = 5, ntyp = 3
/
ATOMIC_SPECIES
La 138.91 La.upf
Mg 24.30 Mg.upf
Be 9.01 Be.upf
CELL_PARAMETERS angstrom
5.521 0.000 0.000
0.000 5.521 0.000
0.000 0.000 5.521
ATOMIC_POSITIONS crystal
La 0.000 0.000 0.500
La 0.000 0.500 0.000
La 0.500 0.000 0.000
Mg 0.500 0.500 0.500
Be 0.000 0.000 0.000
! E: -0.13712 hartree per atom
! formation energy from the elements: 0.29 eV per atom
! polymorph energy (0 for the lowest one): 0 meV per atom
! space-group type: No. 221
! magnetization: 0.968 μB per formula unit

=====

2.
! LaMg2Be | Alexandria via LeMat-Bulk | PBE-GGA | optimized geometry; values from VASP
&SYSTEM
  ibrav = 0, nat = 4, ntyp = 3
/
ATOMIC_SPECIES
La 138.91 La.upf
Mg 24.30 Mg.upf
Be 9.01 Be.upf
CELL_PARAMETERS angstrom
1.657 0.957 9.833
-1.657 0.957 9.833
0.000 -1.914 9.833
ATOMIC_POSITIONS crystal
La 0.000 0.000 0.000
Mg 0.230 0.230 0.230
Mg 0.770 0.770 0.770
Be 0.500 0.500 0.500
! E: -0.09534 hartree per atom
! formation energy from the elements: 0.37 eV per atom
! space-group type: No. 166
! magnetization: 0.000 μB per formula unit

=====

3.
! LaMgBe2 | Alexandria via LeMat-Bulk | PBE-GGA | optimized geometry; values from VASP
&SYSTEM
  ibrav = 0, nat = 4, ntyp = 3
/
ATOMIC_SPECIES
La 138.91 La.upf
Mg 24.30 Mg.upf
Be 9.01 Be.upf
CELL_PARAMETERS angstrom
3.319 0.000 0.000
0.000 3.319 0.000
0.000 0.000 6.812
ATOMIC_POSITIONS crystal
La 0.000 0.000 0.000
Mg 0.000 0.000 0.500
Be 0.500 0.500 0.315
Be 0.500 0.500 0.685
! E: -0.11715 hartree per atom
! formation energy from the elements: 0.31 eV per atom
! space-group type: No. 123
! magnetization: 0.000 μB per formula unit

=====

4.
! LaMgBe3 | Alexandria via LeMat-Bulk | PBE-GGA | optimized geometry; values from VASP
&SYSTEM
  ibrav = 0, nat = 5, ntyp = 3
/
ATOMIC_SPECIES
La 138.91 La.upf
Mg 24.30 Mg.upf
Be 9.01 Be.upf
CELL_PARAMETERS angstrom
5.057 0.000 0.000
0.000 5.057 0.000
0.000 0.000 5.057
ATOMIC_POSITIONS crystal
La 0.000 0.000 0.000
Mg 0.500 0.500 0.500
Be 0.000 0.000 0.500
Be 0.000 0.500 0.000
Be 0.500 0.000 0.000
! E: -0.06520 hartree per atom
! formation energy from the elements: 1.77 eV per atom
! polymorph energy (0 for the lowest one): 1044 meV per atom
! space-group type: No. 221
! magnetization: 0.000 μB per formula unit

=====

5.
! LaMg2Be | Alexandria via LeMat-Bulk | PBE-GGA | optimized geometry; values from VASP
&SYSTEM
  ibrav = 0, nat = 8, ntyp = 3
/
ATOMIC_SPECIES
La 138.91 La.upf
Mg 24.30 Mg.upf
Be 9.01 Be.upf
CELL_PARAMETERS angstrom
-2.163 2.163 10.845
2.163 -2.163 10.845
2.163 2.163 -10.845
ATOMIC_POSITIONS crystal
La 0.000 0.000 0.000
La 0.750 0.250 0.500
Mg 0.165 0.125 0.540
Mg 0.375 0.835 0.960
Mg 0.585 0.625 0.460
Mg 0.875 0.415 0.040
Be 0.250 0.750 0.500
Be 0.500 0.500 0.000
! E: -0.09293 hartree per atom
! formation energy from the elements: 0.43 eV per atom
! space-group type: No. 122
! magnetization: 0.000 μB per formula unit

=====

6.
! LaMgBe2 | Alexandria via LeMat-Bulk | PBE-GGA | optimized geometry; values from VASP
&SYSTEM
  ibrav = 0, nat = 4, ntyp = 3
/
ATOMIC_SPECIES
La 138.91 La.upf
Mg 24.30 Mg.upf
Be 9.01 Be.upf
CELL_PARAMETERS angstrom
4.045 0.000 0.000
0.000 2.198 4.564
0.000 -2.198 4.564
ATOMIC_POSITIONS crystal
La 0.000 0.000 0.000
Mg 0.500 0.296 0.296
Be 0.000 0.692 0.692
Be 0.500 0.633 0.633
! E: -0.12240 hartree per atom
! formation energy from the elements: 0.16 eV per atom
! space-group type: No. 38
! magnetization: 0.000 μB per formula unit

=====

7.
! LaMgBe2 | Alexandria via LeMat-Bulk | PBE-GGA | optimized geometry; values from VASP
&SYSTEM
  ibrav = 0, nat = 4, ntyp = 3
/
ATOMIC_SPECIES
La 138.91 La.upf
Mg 24.30 Mg.upf
Be 9.01 Be.upf
CELL_PARAMETERS angstrom
4.699 0.000 0.000
0.000 3.160 0.000
-1.407 0.000 5.660
ATOMIC_POSITIONS crystal
La 0.000 0.000 0.000
Mg 0.500 0.500 0.500
Be 0.000 0.000 0.500
Be 0.500 0.500 0.000
! E: -0.10456 hartree per atom
! formation energy from the elements: 0.65 eV per atom
! space-group type: No. 10
! magnetization: 0.000 μB per formula unit

=====

8.
! LaMg2Be | Alexandria via LeMat-Bulk | PBE-GGA | optimized geometry; values from VASP
&SYSTEM
  ibrav = 0, nat = 4, ntyp = 3
/
ATOMIC_SPECIES
La 138.91 La.upf
Mg 24.30 Mg.upf
Be 9.01 Be.upf
CELL_PARAMETERS angstrom
0.000 3.554 3.554
3.554 0.000 3.554
3.554 3.554 0.000
ATOMIC_POSITIONS crystal
La 0.000 0.000 0.000
Mg 0.250 0.250 0.250
Mg 0.500 0.500 0.500
Be 0.750 0.750 0.750
! E: -0.10601 hartree per atom
! formation energy from the elements: 0.08 eV per atom
! space-group type: No. 216
! magnetization: 0.000 μB per formula unit

=====

9.
! LaMg2Be | Alexandria via LeMat-Bulk | PBE-GGA | optimized geometry; values from VASP
&SYSTEM
  ibrav = 0, nat = 4, ntyp = 3
/
ATOMIC_SPECIES
La 138.91 La.upf
Mg 24.30 Mg.upf
Be 9.01 Be.upf
CELL_PARAMETERS angstrom
3.836 0.000 0.000
0.000 4.758 0.000
-1.260 0.000 5.288
ATOMIC_POSITIONS crystal
La 0.000 0.000 0.000
Mg 0.352 0.500 0.707
Mg 0.648 0.500 0.293
Be 0.500 0.000 0.500
! E: -0.10071 hartree per atom
! formation energy from the elements: 0.22 eV per atom
! space-group type: No. 10
! magnetization: 0.000 μB per formula unit

=====

10.
! LaMgBe2 | Alexandria via LeMat-Bulk | PBE-GGA | optimized geometry; values from VASP
&SYSTEM
  ibrav = 0, nat = 8, ntyp = 3
/
ATOMIC_SPECIES
La 138.91 La.upf
Mg 24.30 Mg.upf
Be 9.01 Be.upf
CELL_PARAMETERS angstrom
-2.268 2.268 8.540
2.268 -2.268 8.540
2.268 2.268 -8.540
ATOMIC_POSITIONS crystal
La 0.375 0.625 0.750
La 0.625 0.375 0.250
Mg 0.125 0.875 0.250
Mg 0.875 0.125 0.750
Be 0.000 0.000 0.000
Be 0.000 0.000 0.500
Be 0.000 0.500 0.000
Be 0.500 0.000 0.500
! E: -0.11297 hartree per atom
! formation energy from the elements: 0.42 eV per atom
! space-group type: No. 141
! magnetization: 0.000 μB per formula unit

=====

11.
! La4MgBe | Alexandria via LeMat-Bulk | PBE-GGA | optimized geometry; values from VASP
&SYSTEM
  ibrav = 0, nat = 6, ntyp = 3
/
ATOMIC_SPECIES
La 138.91 La.upf
Mg 24.30 Mg.upf
Be 9.01 Be.upf
CELL_PARAMETERS angstrom
0.000 4.598 4.598
4.598 0.000 4.598
4.598 4.598 0.000
ATOMIC_POSITIONS crystal
La 0.376 0.376 0.376
La 0.376 0.376 0.872
La 0.376 0.872 0.376
La 0.872 0.376 0.376
Mg 0.000 0.000 0.000
Be 0.750 0.750 0.750
! E: -0.13100 hartree per atom
! formation energy from the elements: 0.61 eV per atom
! space-group type: No. 216
! magnetization: 0.000 μB per formula unit

=====

12.
! LaMgBe3 | Alexandria via LeMat-Bulk | PBE-GGA | optimized geometry; values from VASP
&SYSTEM
  ibrav = 0, nat = 5, ntyp = 3
/
ATOMIC_SPECIES
La 138.91 La.upf
Mg 24.30 Mg.upf
Be 9.01 Be.upf
CELL_PARAMETERS angstrom
4.575 0.000 0.000
0.000 4.575 0.000
0.000 0.000 4.575
ATOMIC_POSITIONS crystal
La 0.000 0.000 0.000
Mg 0.500 0.500 0.500
Be 0.000 0.500 0.500
Be 0.500 0.000 0.500
Be 0.500 0.500 0.000
! E: -0.10358 hartree per atom
! formation energy from the elements: 0.72 eV per atom
! polymorph energy (0 for the lowest one): 0 meV per atom
! space-group type: No. 221
! magnetization: 0.000 μB per formula unit